Entry 1:
Here is an optimized crystal structure of NdPS4Cl from the Alexandria database. Energies are from GGA-PBE.

Calculated values
D(E_F): 0.00 states/eV/atom

The structure in POSCAR format:
```
NdPS4Cl
1.0
-3.8330 -2.7918 6.5327
0.3874 -8.0308 0.7197
5.1656 -1.0587 4.7046
P Cl S Nd
2 2 8 2
Direct
0.3379 0.3379 0.2777
0.6621 0.6621 0.7223
0.0118 0.0118 0.7552
0.9882 0.9882 0.2448
0.4988 0.4988 0.1495
0.5550 0.9068 0.8290
0.5012 0.5012 0.8505
0.0932 0.4450 0.1710
0.9068 0.5550 0.8290
0.3401 0.3401 0.5572
0.4450 0.0932 0.1710
0.6599 0.6599 0.4428
0.8298 0.8298 0.0674
0.1702 0.1702 0.9326
```

Entry 2:
Here is an optimized crystal structure of Nd4P2SCl from the Alexandria database. Energies are from GGA-PBE.

Calculated values
D(E_F): 0.43 states/eV/atom

The structure in POSCAR format:
```
Nd4P2SCl
1.0
-0.5198 1.0867 3.9340
-7.0209 1.2313 -1.2677
-3.6828 -6.0290 1.1788
S Nd P Cl
1 4 2 1
Direct
0.0000 0.5000 0.5000
0.5000 0.2325 0.7450
0.0000 0.2254 0.2687
0.0000 0.7746 0.7313
0.5000 0.7675 0.2550
0.5000 0.0000 0.5000
0.0000 0.0000 0.0000
0.5000 0.5000 0.0000
```

Entry 3:
Here is an optimized crystal structure of Nd6SbP2Cl3 from the Alexandria database. Energies are from GGA-PBE.

Calculated values
D(E_F): 0.50 states/eV/atom

The structure in POSCAR format:
```
Nd6SbP2Cl3
1.0
4.2267 0.0000 0.0000
0.0000 8.5033 0.3801
-2.1133 -2.3792 8.9377
Nd Sb Cl P
6 1 3 2
Direct
0.6738 0.5649 0.3476
0.0158 0.2642 0.0317
0.6702 0.1183 0.3405
0.9842 0.7358 0.9683
0.3298 0.8817 0.6595
0.3262 0.4351 0.6524
0.5000 0.0000 0.0000
0.8357 0.1655 0.6714
0.1643 0.8345 0.3286
0.5000 0.5000 0.0000
0.1708 0.3395 0.3416
0.8292 0.6605 0.6584
```

Entry 4:
Here is an optimized crystal structure of Nd4PSeCl2 from the Alexandria database. Energies are from GGA-PBE.

Calculated values
D(E_F): 0.41 states/eV/atom

The structure in POSCAR format:
```
Nd4PSeCl2
1.0
4.1913 0.0000 0.0000
0.0000 7.1150 -0.0834
0.0000 2.5627 6.9073
Se Cl Nd P
1 2 4 1
Direct
0.5000 0.5000 0.0000
0.5000 0.0000 0.5000
0.0000 0.0000 0.0000
0.5000 0.7208 0.2744
0.0000 0.7265 0.7405
0.5000 0.2792 0.7256
0.0000 0.2735 0.2595
0.0000 0.5000 0.5000
```

The records above give, respectively, uncorrected formation energy values of -0.9647; -1.7327; -1.4869; -1.6017 eV per atom.